No. 1
Density functional theory data (SCAN) for a PBEsol-optimized structure of Ba2AgRh.

Output
DFT formation energy (eV/atom): -0.187
D(E_F) (states/eV per cell): 0.71

a b c (Å): 4.6281 6.2007 6.2007
angles (deg): 42.80 90.00 90.00
Closest atoms and distances in Å follow each position.
Sites, in units of the cell vectors:
Ba  0.0000  0.0000  0.0000  3 Rh 3.29-3.39, 4 Ag 3.37
Ba  0.5000  0.2829  0.2829  3 Ag 3.24-3.45, 4 Rh 3.35
Ag  0.5000  0.5820  0.5820  2 Rh 2.72
Rh  0.0000  0.7063  0.7063  2 Ag 2.72


No. 2
Density functional theory data (SCAN) for a PBEsol-optimized structure of Ba2AgRh.

Output
DFT formation energy (eV/atom): -0.179
D(E_F) (states/eV per cell): 1.86

a b c (Å): 8.5021 8.5021 8.5021
angles (deg): 31.29 31.29 31.29
Closest atoms and distances in Å follow each position.
Sites, in units of the cell vectors:
Ba  0.0000  0.0000  0.0000  3 Ag 3.31, 3 Rh 3.32
Ba  0.1644  0.1644  0.1644  3 Rh 3.31, 3 Ag 3.32
Ag  0.4154  0.4154  0.4154  3 Rh 2.65
Rh  0.7491  0.7491  0.7491  3 Ag 2.65


No. 3
Density functional theory data (SCAN) for a PBEsol-optimized structure of BaAgRh2.

Output
DFT formation energy (eV/atom): 0.408
D(E_F) (states/eV per cell): 4.74

a b c (Å): 2.9707 4.0408 6.5422
angles (deg): 90.00 90.00 90.00
Closest atoms and distances in Å follow each position.
Sites, in units of the cell vectors:
Ba  0.0000  0.0000  0.0000  2 Ba 2.97, 8 Rh 3.21, 2 Ag 3.27
Ag  0.0000  0.0000  0.5000  8 Rh 2.81, 2 Ag 2.97
Rh  0.5000  0.5000  0.3067  1 Rh 2.53, 4 Ag 2.81
Rh  0.5000  0.5000  0.6933  1 Rh 2.53, 4 Ag 2.81


Question: Among the records above, which one has the lowest D(E_F)?
Answer: number 1